# NaTl2Sn4 PBE optimized geometry
# E_tot: -21.9 eV for the cell shown
# N(E_F): 0.5411 states/eV/atom
# crystal system: monoclinic
# space-group type: C2/m
data_NaTl2Sn4
_chemical_formula_sum 'Na1 Tl2 Sn4'
_space_group_name_H-M_alt 'P 1'
_space_group_IT_number 1
_cell_length_a 6.472
_cell_length_b 6.861
_cell_length_c 6.861
_cell_angle_alpha 98.40
_cell_angle_beta 62.44
_cell_angle_gamma 62.44
loop_
_space_group_symop_operation_xyz
'x,y,z'
loop_
_atom_site_label
_atom_site_fract_x
_atom_site_fract_y
_atom_site_fract_z
Na1 0.000 0.000 0.000
Sn1 0.500 0.500 0.000
Sn2 0.000 0.000 0.500
Tl1 0.500 0.500 0.500
Sn3 0.500 0.000 0.500
Tl2 0.000 0.500 0.500
Sn4 0.000 0.500 0.000